RbY3Ta | Alexandria via LeMat-Bulk | PBEsol | optimized geometry; calculated formation energy = 861 kJ/mol of formula units; M_tot = 0.00 μB per formula unit; density = 6384 kg/m3; calculated total energy = -25.12 eV/f.u.
1.0
5.176 0.000 0.000
0.000 5.176 0.000
0.000 0.000 5.176
Rb Y Ta
1 3 1
Direct
0.000 0.000 0.000 Rb
0.000 0.000 0.500 Y
0.000 0.500 0.000 Y
0.500 0.000 0.000 Y
0.500 0.500 0.500 Ta